First-principles (PBE with a Hubbard U) data for a relaxed BaCd2FeF8 crystal, as listed in Alexandria via LeMat-Bulk.

Cell and atoms, written as extended XYZ:
```
12
Lattice="-0.5031 4.7985 -0.3397 -2.6600 0.1837 4.7362 6.4638 0.8433 3.5323" Properties=species:S:1:pos:R:3 pbc="T T T"
F -2.2789 3.3478 3.2821
F 3.0081 1.4807 6.3383
F 1.0099 3.2709 5.0223
F 4.1001 4.8029 3.5982
F 2.2908 2.5546 2.9065
F 0.2926 4.3448 1.5905
F 5.5796 2.4777 4.6467
F -0.7994 1.0226 4.3306
Fe 0.0000 0.0000 0.0000
Cd 3.3716 3.1580 4.9233
Cd -0.0709 2.6675 3.0055
Ba 3.2319 0.4216 1.7661
```

Values from the calculation:
SG: No. 2
Spin magnetization in Bohr magnetons per cell: 4.000
Calculated total energy in eV per atom: -4.6557